(1)
Below is a relaxed CaZnIn2 crystal, with properties calculated at the GGA-PBE level.

Lattice parameters (Å, degrees): 3.640 4.730 6.011 90.00 101.20 90.00
Space group P2/m (No. 10)
Inequivalent atoms, fractional coordinates:
1 Ca 0.000 0.000 0.000 [1 per cell]
2 Zn 0.500 0.000 0.500 [1 per cell]
3 In 0.362 0.500 0.728 [2 per cell]

calculated volume = 25.38 Å³/atom
DFT formation energy = -77 kJ/mol of formula units
mass density = 5481 kg/m³
density of states at the Fermi level = 1.210 states/eV/f.u.
raw total energy = -2.3878 eV/atom

(2)
Below is a relaxed CsNaSb4 crystal, with properties calculated at the GGA-PBE level.

Lattice parameters (Å, degrees): 4.323 4.323 12.026 90.00 90.00 90.00
Space group P4/mmm (No. 123)
Inequivalent atoms, fractional coordinates:
1 Cs 0.000 0.000 0.000 [1 per cell]
2 Na 0.500 0.500 0.500 [1 per cell]
3 Sb 0.000 0.500 0.280 [4 per cell]

calculated volume = 37.45 Å³/atom
mass density = 4751 kg/m³
density of states at the Fermi level = 3.145 states/eV/f.u.
raw total energy = -3.2803 eV/atom
formation energy without anion corrections = -0.17 eV per atom